*w*
Density functional theory data (PBE) for PrSnNO after structural relaxation.

Structure (POSCAR):
```
PrSnNO
1.0
4.970 0.000 0.000
0.000 4.970 0.000
0.000 0.000 5.345
Pr Sn N O
2 2 2 2
Cartesian
1.242 3.727 0.000 Pr
3.727 1.242 0.000 Pr
1.242 1.242 2.639 Sn
3.727 3.727 2.706 Sn
1.242 1.242 4.738 N
3.727 3.727 0.607 N
1.242 3.727 2.672 O
3.727 1.242 2.672 O
```

Summary:
Calculated volume   66.0 Å³/f.u.


*x*
Density functional theory data (PBE) for PrSnNO after structural relaxation.

Structure (POSCAR):
```
PrSnNO
1.0
3.543 0.000 0.000
0.000 6.255 0.000
0.000 0.000 6.226
Pr Sn N O
2 2 2 2
Cartesian
0.000 0.772 0.000 Pr
0.000 5.483 3.113 Pr
1.772 2.374 3.100 Sn
1.772 3.881 6.213 Sn
0.000 1.528 2.283 N
0.000 4.727 5.396 N
1.772 0.633 4.497 O
1.772 5.622 1.384 O
```

Summary:
Calculated volume   69.0 Å³/f.u.


It is *x* that is the most stable of them.